No. 1
# LiZrAgHg

A geometry-optimized LiZrAgHg structure (PBE, Alexandria).

Results
VASP energy: -3.55 eV per atom
ΔE_f: -142 meV/atom

Geometry as CIF:
```
data_LiZrAgHg
_chemical_formula_sum 'Li4 Zr4 Ag4 Hg4'
_symmetry_space_group_name_H-M 'F -4 3 m'
_symmetry_Int_Tables_number 216
_symmetry_space_group_name_Hall 'F -4 2 3'
_cell_length_a 6.751
_cell_length_b 6.751
_cell_length_c 6.751
_cell_angle_alpha 90.00
_cell_angle_beta 90.00
_cell_angle_gamma 90.00
loop_
_atom_site_label
_atom_site_fract_x
_atom_site_fract_y
_atom_site_fract_z
Li1 0.000 0.000 0.000
Zr1 0.000 0.000 0.500
Ag1 0.250 0.250 0.250
Hg1 0.250 0.250 0.750
```



No. 2
# Li2ZrAgHg

A geometry-optimized Li2ZrAgHg structure (PBE, Alexandria).

Results
VASP energy: -2.68 eV per atom
ΔE_f: 421 meV/atom

Geometry as CIF:
```
data_Li2ZrAgHg
_chemical_formula_sum 'Li2 Zr1 Ag1 Hg1'
_symmetry_space_group_name_H-M 'P 4/m m m'
_symmetry_Int_Tables_number 123
_symmetry_space_group_name_Hall '-P 4 2'
_cell_length_a 4.516
_cell_length_b 4.516
_cell_length_c 5.220
_cell_angle_alpha 90.00
_cell_angle_beta 90.00
_cell_angle_gamma 90.00
loop_
_atom_site_label
_atom_site_fract_x
_atom_site_fract_y
_atom_site_fract_z
Li1 0.000 0.500 0.000
Zr1 0.000 0.000 0.500
Ag1 0.500 0.500 0.000
Hg1 0.500 0.500 0.500
```



No. 3
# LuAg2Hg

A geometry-optimized LuAg2Hg structure (PBE, Alexandria).

Results
VASP energy: -2.81 eV per atom
ΔE_f: -183 meV/atom

Geometry as CIF:
```
data_LuAg2Hg
_chemical_formula_sum 'Lu1 Ag2 Hg1'
_symmetry_space_group_name_H-M 'P 4/m m m'
_symmetry_Int_Tables_number 123
_symmetry_space_group_name_Hall '-P 4 2'
_cell_length_a 3.644
_cell_length_b 3.644
_cell_length_c 6.448
_cell_angle_alpha 90.00
_cell_angle_beta 90.00
_cell_angle_gamma 90.00
loop_
_atom_site_label
_atom_site_fract_x
_atom_site_fract_y
_atom_site_fract_z
Lu1 0.000 0.000 0.000
Ag1 0.500 0.500 0.249
Hg1 0.000 0.000 0.500
```



- What is the VASP energy in the third record?
  -2.81 eV per atom